# PrMn2Ge2 | Alexandria via LeMat-Bulk | GGA-PBEsol | relaxed
data_PrMn2Ge2
_cell_length_a 3.964
_cell_length_b 3.964
_cell_length_c 10.821
_cell_angle_alpha 90.00
_cell_angle_beta 90.00
_cell_angle_gamma 90.00
_space_group_name_H-M_alt 'I 4/m m m'
_space_group_IT_number 139
_space_group_name_Hall '-I 4 2'
loop_
_atom_site_label
_atom_site_type_symbol
_atom_site_fract_x
_atom_site_fract_y
_atom_site_fract_z
_atom_site_occupancy
Pr1 Pr 0.000 0.000 0.000 1
Mn1 Mn 0.000 0.500 0.250 1
Ge1 Ge 0.000 0.000 0.375 1
# Final energy, eV per atom: -7.366